Below is an optimized crystal structure of KCaNiF6, with properties calculated at the PBE+U level.

Results
Its space group is Imma. The value obtained for the total magnetic moment is 2.0 Bohr magnetons per cell. The calculation puts the total energy at -4.615 eV per atom.

Cell lengths 7.3566, 7.4785, 7.1465 Å; angles 121.55, 120.98, 90.00 degrees
Fractional positions:
F 0.8776 0.1276 0.7552
F 0.8065 0.1684 0.2604
K 0.1527 0.4027 0.3054
F 0.1224 0.8724 0.2448
F 0.8065 0.5920 0.2604
F 0.4539 0.1684 0.2604
F 0.1935 0.4080 0.7396
Ni 0.5000 0.0000 0.0000
F 0.5461 0.8316 0.7396
F 0.1935 0.8316 0.7396
Ca 0.5000 0.0000 0.5000
K 0.8473 0.5973 0.6946
Ni 0.5000 0.5000 0.0000
Ca 0.0000 0.0000 0.5000
F 0.4206 0.1706 0.8411
F 0.4539 0.5920 0.2604
F 0.5461 0.4080 0.7396
F 0.5794 0.8294 0.1589